(1)
Entry from Alexandria via LeMat-Bulk: a geometry-optimized Pm12Y6Th structure (PBE-GGA).

Cell: 13.3522 13.3522 12.8222 Å, 90.00 90.00 120.00°
Space group R-3m (No. 166, hexagonal axes)
One atom of each set of equivalent atoms:
1 Pm 0.0000 0.2622 0.0000 [18 per cell]
2 Pm 0.0548 0.5274 0.1145 [18 per cell]
3 Y 0.0882 0.1764 0.7706 [18 per cell]
4 Th 0.0000 0.0000 0.0000 [3 per cell]

The crystal system is trigonal. The formation energy comes out at 0.12 eV/atom.

=====

(2)
Entry from Alexandria via LeMat-Bulk: a geometry-optimized GeSb2Te4 structure (PBE-GGA).

Cell: 6.115 6.115 12.135 Å, 90.00 90.00 90.00°
Space group I-4m2 (No. 119)
One atom of each set of equivalent atoms:
1 Ge 0.000 0.000 0.000 [2 per cell]
2 Sb 0.000 0.000 0.500 [2 per cell]
3 Sb 0.000 0.500 0.750 [2 per cell]
4 Te 0.000 0.000 0.247 [4 per cell]
5 Te 0.000 0.500 0.004 [4 per cell]

The crystal system is tetragonal. The value obtained for the uncorrected formation energy is -0.004 eV/atom.

=====

(3)
Entry from Alexandria via LeMat-Bulk: a geometry-optimized CaPr2ScSe4 structure (PBE-GGA).

Cell: 7.136 4.104 7.286 Å, 90.00 108.77 90.00°
Space group P2/m (No. 10)
One atom of each set of equivalent atoms:
1 Ca 0.000 0.000 0.000 [1 per cell]
2 Pr 0.000 0.500 0.500 [1 per cell]
3 Pr 0.500 0.000 0.500 [1 per cell]
4 Sc 0.500 0.500 0.000 [1 per cell]
5 Se 0.253 0.500 0.231 [2 per cell]
6 Se 0.266 0.000 0.775 [2 per cell]

The crystal system is monoclinic. The value obtained for the uncorrected formation energy is -1.789 eV/atom.

=====

(4)
Entry from Alexandria via LeMat-Bulk: a geometry-optimized TbPr6Er2 structure (PBE-GGA).

Cell: 15.313 9.151 9.137 Å, 90.00 92.34 90.00°
Space group C2/c (No. 15)
One atom of each set of equivalent atoms:
1 Tb 0.000 0.180 0.250 [4 per cell]
2 Pr 0.072 0.161 0.608 [8 per cell]
3 Pr 0.111 0.500 0.400 [8 per cell]
4 Pr 0.160 0.148 0.977 [8 per cell]
5 Er 0.231 0.175 0.326 [8 per cell]

As for the excess energy over the best structure of this formula in the dataset: 102.5 meV/atom. The crystal system is monoclinic. The formation energy comes out at 0.18 eV/atom.

=====

(5)
Entry from Alexandria via LeMat-Bulk: a geometry-optimized NbPdBr2 structure (PBE-GGA).

Cell: 3.3103 3.3103 26.4965 Å, 90.00 90.00 120.00°
Space group R-3m (No. 166, hexagonal axes)
One atom of each set of equivalent atoms:
1 Nb 0.0000 0.0000 0.0000 [3 per cell]
2 Pd 0.0000 0.0000 0.5000 [3 per cell]
3 Br 0.0000 0.0000 0.4048 [6 per cell]

As for the excess energy over the best structure of this formula in the dataset: 0.0 meV/atom. The crystal system is trigonal. The value obtained for the uncorrected formation energy is -0.100 eV/atom.

=====

(6)
Entry from Alexandria via LeMat-Bulk: a geometry-optimized Tm2ScTe2 structure (PBE-GGA).

Cell: 4.005 18.007 7.514 Å, 90.00 90.00 90.00°
Space group Cmc2_1 (No. 36)
One atom of each set of equivalent atoms:
1 Tm 0.000 0.024 0.000 [4 per cell]
2 Tm 0.000 0.189 0.346 [4 per cell]
3 Sc 0.000 0.388 0.181 [4 per cell]
4 Te 0.000 0.187 0.926 [4 per cell]
5 Te 0.000 0.438 0.788 [4 per cell]

As for the excess energy over the best structure of this formula in the dataset: 0.0 meV/atom. The crystal system is orthorhombic. The value obtained for the uncorrected formation energy is -0.860 eV/atom.

=====

(7)
Entry from Alexandria via LeMat-Bulk: a geometry-optimized HfTi4Zn structure (PBE-GGA).

Cell: 2.995 2.995 11.813 Å, 90.00 90.00 90.00°
Space group P4/mmm (No. 123)
One atom of each set of equivalent atoms:
1 Hf 0.000 0.000 0.000 [1 per cell]
2 Ti 0.000 0.000 0.348 [2 per cell]
3 Ti 0.500 0.500 0.186 [2 per cell]
4 Zn 0.500 0.500 0.500 [1 per cell]

The crystal system is tetragonal. The formation energy comes out at -0.03 eV/atom.

=====

(8)
Entry from Alexandria via LeMat-Bulk: a geometry-optimized TiCdPb2O5 structure (PBE-GGA).

Cell: 3.634 12.868 12.710 Å, 90.00 90.00 90.00°
Space group Cmc2_1 (No. 36)
One atom of each set of equivalent atoms:
1 Ti 0.000 0.037 0.000 [4 per cell]
2 Cd 0.000 0.261 0.570 [4 per cell]
3 Pb 0.000 0.315 0.831 [4 per cell]
4 Pb 0.000 0.432 0.214 [4 per cell]
5 O 0.000 0.024 0.377 [4 per cell]
6 O 0.000 0.088 0.596 [4 per cell]
7 O 0.000 0.193 0.965 [4 per cell]
8 O 0.000 0.251 0.218 [4 per cell]
9 O 0.000 0.440 0.553 [4 per cell]

The crystal system is orthorhombic. The value obtained for the uncorrected formation energy is -1.692 eV/atom.

=====

(9)
Entry from Alexandria via LeMat-Bulk: a geometry-optimized Pm3Mg5Rh2 structure (PBE-GGA).

Cell: 12.059 12.976 6.305 Å, 90.00 90.00 90.00°
Space group Ibam (No. 72)
One atom of each set of equivalent atoms:
1 Pm 0.000 0.000 0.250 [4 per cell]
2 Pm 0.244 0.167 0.000 [8 per cell]
3 Mg 0.000 0.269 0.250 [8 per cell]
4 Mg 0.000 0.500 0.250 [4 per cell]
5 Mg 0.181 0.422 0.000 [8 per cell]
6 Rh 0.126 0.152 0.500 [8 per cell]

As for the excess energy over the best structure of this formula in the dataset: 86.1 meV/atom. The crystal system is orthorhombic. The formation energy comes out at -0.26 eV/atom.

=====

(10)
Entry from Alexandria via LeMat-Bulk: a geometry-optimized Fe2SiPb structure (PBE-GGA).

Cell: 7.083 4.085 5.534 Å, 90.00 115.69 90.00°
Space group C2/m (No. 12)
One atom of each set of equivalent atoms:
1 Fe 0.187 0.000 0.059 [4 per cell]
2 Si 0.000 0.500 0.000 [2 per cell]
3 Pb 0.000 0.000 0.500 [2 per cell]

As for the excess energy over the best structure of this formula in the dataset: 0.0 meV/atom. The crystal system is monoclinic. The value obtained for the uncorrected formation energy is 0.154 eV/atom.

=====

(11)
Entry from Alexandria via LeMat-Bulk: a geometry-optimized LiAlHgBr4 structure (PBE-GGA).

Cell: 14.911 7.883 11.466 Å, 90.00 113.55 90.00°
Space group C2/m (No. 12)
One atom of each set of equivalent atoms:
1 Li 0.249 0.000 0.366 [4 per cell]
2 Al 0.235 0.500 0.343 [4 per cell]
3 Hg 0.058 0.000 0.894 [4 per cell]
4 Br 0.107 0.500 0.410 [4 per cell]
5 Br 0.124 0.000 0.470 [4 per cell]
6 Br 0.230 0.261 0.220 [8 per cell]

The crystal system is monoclinic. The value obtained for the uncorrected formation energy is -1.078 eV/atom.

=====

(12)
Entry from Alexandria via LeMat-Bulk: a geometry-optimized Zr2SbPb2 structure (PBE-GGA).

Cell: 8.159 8.159 3.920 Å, 90.00 90.00 90.00°
Space group P4/mbm (No. 127)
One atom of each set of equivalent atoms:
1 Zr 0.143 0.357 0.000 [4 per cell]
2 Sb 0.000 0.000 0.500 [2 per cell]
3 Pb 0.151 0.651 0.500 [4 per cell]

As for the excess energy over the best structure of this formula in the dataset: 331.8 meV/atom. The crystal system is tetragonal. The value obtained for the uncorrected formation energy is 0.118 eV/atom.